(1)
## Li2LaPm2In2 (PBE-GGA)

Data for a geometry-optimized Li2LaPm2In2 structure.

Properties
Its magnetization is 0.0 Bohr magnetons per cell. For the calculated volume, the calculation gives 27.7 Å³ per atom. For the calculated formation energy, the calculation gives -259 meV per atom. As for the density of states at the Fermi level: 0.835 states/eV/atom.

a b c (Å): 9.4396 9.4396 9.4396
angles (deg): 30.68 30.68 30.68
Last column: nearest neighbours and their distance in Å.
Atoms (fractional coordinates):
Li: 0.0993 0.0993 0.0993  3 In 2.89
Li: 0.9007 0.9007 0.9007  3 In 2.89
La: 0.5000 0.5000 0.5000  6 Li 3.41, 2 Pm 3.46, 6 In 3.49
Pm: 0.3717 0.3717 0.3717  4 In 3.24-3.56, 3 Li 3.32, 1 La 3.46, 3 Pm 3.55
Pm: 0.6283 0.6283 0.6283  4 In 3.24-3.56, 3 Li 3.32, 1 La 3.46, 3 Pm 3.55
In: 0.2398 0.2398 0.2398  3 Li 2.89
In: 0.7602 0.7602 0.7602  3 Li 2.89

(2)
## SrIrF2 (PBE-GGA)

Data for a geometry-optimized SrIrF2 structure.

Properties
Its magnetization is 2.1 Bohr magnetons per cell. For the calculated volume, the calculation gives 16.7 Å³ per atom. As for the density of states at the Fermi level: 1.455 states/eV/atom. The value obtained for the formation energy without anion corrections is -1.04 eV per atom. The calculation puts the energy above the lowest structure with this stoichiometry at 2.166 eV per formula unit.

a b c (Å): 4.5545 4.5545 4.5545
angles (deg): 60.00 60.00 60.00
Last column: nearest neighbours and their distance in Å.
Atoms (fractional coordinates):
Sr: 0.0000 0.0000 0.0000  8 F 2.79
Ir: 0.5000 0.5000 0.5000  8 F 2.79
F: 0.2500 0.2500 0.2500  4 Ir 2.79, 4 Sr 2.79
F: 0.7500 0.7500 0.7500  4 Ir 2.79, 4 Sr 2.79

(3)
## Ta3Ni3C (PBE-GGA)

Data for a geometry-optimized Ta3Ni3C structure.

Properties
Its magnetization is 0.0 Bohr magnetons per cell. For the calculated volume, the calculation gives 13.1 Å³ per atom. For the calculated formation energy, the calculation gives -367 meV per atom. As for the density of states at the Fermi level: 1.208 states/eV/atom.

a b c (Å): 8.0310 8.0310 8.0310
angles (deg): 60.00 60.00 60.00
Last column: nearest neighbours and their distance in Å.
Atoms (fractional coordinates):
Ta: 0.0698 0.0698 0.6802  2 C 2.16
Ta: 0.0698 0.6802 0.0698  2 C 2.16
Ta: 0.0698 0.6802 0.6802  2 C 2.16
Ta: 0.3198 0.3198 0.9302  2 C 2.16
Ta: 0.3198 0.9302 0.3198  2 C 2.16
Ta: 0.3198 0.9302 0.9302  2 C 2.16
Ta: 0.6802 0.0698 0.0698  2 C 2.16
Ta: 0.6802 0.0698 0.6802  2 C 2.16
Ta: 0.6802 0.6802 0.0698  2 C 2.16
Ta: 0.9302 0.3198 0.3198  2 C 2.16
Ta: 0.9302 0.3198 0.9302  2 C 2.16
Ta: 0.9302 0.9302 0.3198  2 C 2.16
Ni: 0.0000 0.5000 0.5000  6 Ni 2.46
Ni: 0.2922 0.2922 0.2922  6 Ni 2.46-2.66, 3 Ta 2.70
Ni: 0.2922 0.2922 0.6235  6 Ni 2.46-2.66, 3 Ta 2.70
Ni: 0.2922 0.6235 0.2922  6 Ni 2.46-2.66, 3 Ta 2.70
Ni: 0.3765 0.7078 0.7078  6 Ni 2.46-2.66, 3 Ta 2.70
Ni: 0.5000 0.0000 0.5000  6 Ni 2.46
Ni: 0.5000 0.5000 0.0000  6 Ni 2.46
Ni: 0.5000 0.5000 0.5000  6 Ni 2.46
Ni: 0.6235 0.2922 0.2922  6 Ni 2.46-2.66, 3 Ta 2.70
Ni: 0.7078 0.3765 0.7078  6 Ni 2.46-2.66, 3 Ta 2.70
Ni: 0.7078 0.7078 0.3765  6 Ni 2.46-2.66, 3 Ta 2.70
Ni: 0.7078 0.7078 0.7078  6 Ni 2.46-2.66, 3 Ta 2.70
C: 0.0000 0.0000 0.0000  6 Ta 2.16
C: 0.0000 0.0000 0.5000  6 Ta 2.16
C: 0.0000 0.5000 0.0000  6 Ta 2.16
C: 0.5000 0.0000 0.0000  6 Ta 2.16

(4)
## Pm2VSi5 (PBE-GGA)

Data for a geometry-optimized Pm2VSi5 structure.

Properties
Its magnetization is 0.0 Bohr magnetons per cell. For the calculated volume, the calculation gives 19.5 Å³ per atom. As for the density of states at the Fermi level: 0.594 states/eV/atom. The value obtained for the formation energy without anion corrections is -0.44 eV per atom.

a b c (Å): 6.1013 6.1013 6.1013
angles (deg): 121.77 121.77 86.96
Last column: nearest neighbours and their distance in Å.
Atoms (fractional coordinates):
Pm: 0.0000 0.5000 0.5000  10 Si 3.00-3.09
Pm: 0.5000 0.0000 0.5000  10 Si 3.00-3.09
V: 0.2230 0.2230 0.0000  5 Si 2.41-2.45
Si: 0.5378 0.5378 0.5819  1 V 2.45, 3 Si 2.48-2.52
Si: 0.5378 0.9559 0.0000  1 V 2.45, 3 Si 2.48-2.52
Si: 0.9513 0.9513 0.0000  1 V 2.41, 4 Si 2.52
Si: 0.9559 0.5378 0.0000  1 V 2.45, 3 Si 2.48-2.52
Si: 0.9559 0.9559 0.4181  1 V 2.45, 3 Si 2.48-2.52

(5)
## MgNbAg (PBE-GGA)

Data for a geometry-optimized MgNbAg structure.

Properties
Its magnetization is 0.0 Bohr magnetons per cell. For the calculated volume, the calculation gives 18.6 Å³ per atom. For the calculated formation energy, the calculation gives 100 meV per atom. As for the density of states at the Fermi level: 0.449 states/eV/atom. The calculation puts the energy above the lowest structure with this stoichiometry at 0.136 eV per formula unit.

a b c (Å): 2.9797 5.2131 7.8669
angles (deg): 108.25 90.63 105.30
Last column: nearest neighbours and their distance in Å.
Atoms (fractional coordinates):
Mg: 0.0184 0.0462 0.3056  5 Ag 2.76-2.97, 2 Mg 2.98, 2 Nb 3.02-3.06
Mg: 0.9816 0.9538 0.6944  5 Ag 2.76-2.97, 2 Mg 2.98, 2 Nb 3.02-3.06
Nb: 0.3715 0.7161 0.9648  5 Nb 2.72-2.98, 2 Ag 2.98-3.04, 1 Mg 3.02
Nb: 0.6285 0.2839 0.0352  5 Nb 2.72-2.98, 2 Ag 2.98-3.04, 1 Mg 3.02
Ag: 0.3129 0.6190 0.3691  5 Mg 2.76-2.97, 3 Ag 2.98-3.05, 2 Nb 2.98-3.04
Ag: 0.6871 0.3810 0.6309  5 Mg 2.76-2.97, 3 Ag 2.98-3.05, 2 Nb 2.98-3.04

(6)
## Ac3La5Er2 (PBE-GGA)

Data for a geometry-optimized Ac3La5Er2 structure.

Properties
Its magnetization is 0.0 Bohr magnetons per cell. For the calculated volume, the calculation gives 38.6 Å³ per atom. For the calculated formation energy, the calculation gives 173 meV per atom. As for the density of states at the Fermi level: 1.614 states/eV/atom.

a b c (Å): 9.4512 9.4512 10.5836
angles (deg): 107.94 107.94 107.31
Last column: nearest neighbours and their distance in Å.
Atoms (fractional coordinates):
Ac: 0.0107 0.9893 0.7500  3 La 3.30-3.52, 2 Er 3.59
Ac: 0.2229 0.4739 0.4460  1 Er 3.47, 5 La 3.54-3.71, 1 Ac 3.77
Ac: 0.4739 0.2229 0.9460  1 Er 3.47, 5 La 3.54-3.71, 1 Ac 3.77
Ac: 0.5261 0.7771 0.0540  1 Er 3.47, 5 La 3.54-3.71, 1 Ac 3.77
Ac: 0.7771 0.5261 0.5540  1 Er 3.47, 5 La 3.54-3.71, 1 Ac 3.77
Ac: 0.9893 0.0107 0.2500  3 La 3.30-3.52, 2 Er 3.59
La: 0.1234 0.3816 0.7535  3 La 3.47-3.68, 1 Ac 3.52
La: 0.2275 0.7725 0.7500  5 Ac 3.30-3.68, 2 La 3.54, 2 Er 3.59
La: 0.2630 0.7370 0.2500  3 La 3.17-3.47, 2 Er 3.44
La: 0.3816 0.1234 0.2535  3 La 3.47-3.68, 1 Ac 3.52
La: 0.4715 0.5285 0.2500  1 La 3.17
La: 0.5285 0.4715 0.7500  1 La 3.17
La: 0.6184 0.8766 0.7465  3 La 3.47-3.68, 1 Ac 3.52
La: 0.7370 0.2630 0.7500  3 La 3.17-3.47, 2 Er 3.44
La: 0.7725 0.2275 0.2500  5 Ac 3.30-3.68, 2 La 3.54, 2 Er 3.59
La: 0.8766 0.6184 0.2465  3 La 3.47-3.68, 1 Ac 3.52
Er: 0.0258 0.2952 0.0625  4 La 3.44-3.63, 3 Ac 3.47-3.80
Er: 0.2952 0.0258 0.5625  4 La 3.44-3.63, 3 Ac 3.47-3.80
Er: 0.7048 0.9742 0.4375  4 La 3.44-3.63, 3 Ac 3.47-3.80
Er: 0.9742 0.7048 0.9375  4 La 3.44-3.63, 3 Ac 3.47-3.80

What is the formula in the second record? SrIrF2

Look up the magnetization of the first one. 0.0 Bohr magnetons per cell